The following is a GGA-PBE calculation of crystalline Ag2PtSe at its relaxed geometry, from Alexandria.

Cell: 3.422 3.422 6.359 Å, 90.00 90.00 90.00°
Space group P4mm (No. 99)
One atom of each set of equivalent atoms:
1 Ag 0.000 0.000 0.000 [1 per cell]
2 Ag 0.500 0.500 0.242 [1 per cell]
3 Pt 0.000 0.000 0.527 [1 per cell]
4 Se 0.500 0.500 0.674 [1 per cell]

Summary:
Raw formation energy in eV per atom: 0.102
Crystal system: tetragonal